1.
# NpSi3Ir2, optimized geometry, DFT GGA-PBE
# - N(E_F) (states/eV per atom) = 1.565
# - magnetization (μB/cell) = 22.17
# - formation energy from raw total energies (eV per atom) = -0.565
data_NpSi3Ir2
_symmetry_space_group_name_H-M 'C 1 2/m 1'
_symmetry_Int_Tables_number 12
_symmetry_space_group_name_Hall '-C 2y'
_cell_length_a 15.905
_cell_length_b 3.991
_cell_length_c 9.481
_cell_angle_alpha 90.00
_cell_angle_beta 102.83
_cell_angle_gamma 90.00
loop_
_atom_site_label
_atom_site_type_symbol
_atom_site_fract_x
_atom_site_fract_y
_atom_site_fract_z
_atom_site_occupancy
Np1 Np 0.000 0.000 0.000 1
Np2 Np 0.148 0.000 0.695 1
Si1 Si 0.000 0.500 0.500 1
Si2 Si 0.048 0.000 0.371 1
Si3 Si 0.143 0.500 0.182 1
Si4 Si 0.144 0.500 0.927 1
Si5 Si 0.224 0.000 0.363 1
Ir1 Ir 0.005 0.500 0.771 1
Ir2 Ir 0.148 0.500 0.441 1
Ir3 Ir 0.207 0.000 0.088 1

***

2.
# Np2Si5Ir3, optimized geometry, DFT GGA-PBE
# - N(E_F) (states/eV per atom) = 2.066
# - magnetization (μB/cell) = 28.23
# - formation energy from raw total energies (eV per atom) = -0.663
data_Np2Si5Ir3
_symmetry_space_group_name_H-M 'I b a m'
_symmetry_Int_Tables_number 72
_symmetry_space_group_name_Hall '-I 2 2c'
_cell_length_a 10.038
_cell_length_b 11.441
_cell_length_c 5.828
_cell_angle_alpha 90.00
_cell_angle_beta 90.00
_cell_angle_gamma 90.00
loop_
_atom_site_label
_atom_site_type_symbol
_atom_site_fract_x
_atom_site_fract_y
_atom_site_fract_z
_atom_site_occupancy
Np1 Np 0.230 0.132 0.000 1
Si1 Si 0.000 0.000 0.250 1
Si2 Si 0.000 0.275 0.250 1
Si3 Si 0.155 0.394 0.000 1
Ir1 Ir 0.000 0.500 0.250 1
Ir2 Ir 0.114 0.140 0.500 1